Record 1
This record from Alexandria describes a relaxed LaOs2Rh crystal. The functional is PBEsol.

Output
As for the total magnetic moment: 0.0 μB per cell. The excess energy over the best structure of this formula in the dataset comes out at 2.342 eV/f.u. Its mass density is 15.174 g/cm³. For the formation energy, the calculation gives 3.18 eV per formula unit.

Geometry as CIF:
```
data_LaOs2Rh
_chemical_formula_sum 'La4 Os8 Rh4'
_cell_length_a 6.4824
_cell_length_b 6.4824
_cell_length_c 6.4824
_cell_angle_alpha 90.00
_cell_angle_beta 90.00
_cell_angle_gamma 90.00
_symmetry_space_group_name_H-M 'F m -3 m'
_symmetry_Int_Tables_number 225
_symmetry_space_group_name_Hall '-F 4 2 3'
loop_
_atom_site_label
_atom_site_type_symbol
_atom_site_fract_x
_atom_site_fract_y
_atom_site_fract_z
_atom_site_occupancy
La1 La 0.0000 0.0000 0.0000 1
Os1 Os 0.2500 0.2500 0.2500 1
Rh1 Rh 0.0000 0.0000 0.5000 1
```

=====

Record 2
This record from Alexandria describes a relaxed LiCaBe2 crystal. The functional is PBEsol.

Output
As for the total magnetic moment: 0.0 μB per cell. The excess energy over the best structure of this formula in the dataset comes out at 1.020 eV/f.u. Its mass density is 1.505 g/cm³. For the formation energy, the calculation gives 2.44 eV per formula unit.

Geometry as CIF:
```
data_LiCaBe2
_chemical_formula_sum 'Li1 Ca1 Be2'
_cell_length_a 4.2902
_cell_length_b 4.2902
_cell_length_c 3.9002
_cell_angle_alpha 90.00
_cell_angle_beta 90.00
_cell_angle_gamma 90.00
_symmetry_space_group_name_H-M 'P 4/m m m'
_symmetry_Int_Tables_number 123
_symmetry_space_group_name_Hall '-P 4 2'
loop_
_atom_site_label
_atom_site_type_symbol
_atom_site_fract_x
_atom_site_fract_y
_atom_site_fract_z
_atom_site_occupancy
Li1 Li 0.0000 0.0000 0.0000 1
Ca1 Ca 0.5000 0.5000 0.0000 1
Be1 Be 0.0000 0.5000 0.5000 1
```

=====

Record 3
This record from Alexandria describes a relaxed Cs3GePt crystal. The functional is PBEsol.

Output
As for the total magnetic moment: 3.0 μB per cell. Its mass density is 4.219 g/cm³. For the formation energy, the calculation gives 1.98 eV per formula unit.

Geometry as CIF:
```
data_Cs3GePt
_chemical_formula_sum 'Cs3 Ge1 Pt1'
_cell_length_a 6.4013
_cell_length_b 6.4013
_cell_length_c 6.4013
_cell_angle_alpha 90.00
_cell_angle_beta 90.00
_cell_angle_gamma 90.00
_symmetry_space_group_name_H-M 'P m -3 m'
_symmetry_Int_Tables_number 221
_symmetry_space_group_name_Hall '-P 4 2 3'
loop_
_atom_site_label
_atom_site_type_symbol
_atom_site_fract_x
_atom_site_fract_y
_atom_site_fract_z
_atom_site_occupancy
Cs1 Cs 0.0000 0.0000 0.5000 1
Ge1 Ge 0.5000 0.5000 0.5000 1
Pt1 Pt 0.0000 0.0000 0.0000 1
```

=====

Record 4
This record from Alexandria describes a relaxed BaSbSe2F crystal. The functional is PBEsol.

Output
As for the total magnetic moment: 0.0 μB per cell. As for the uncorrected formation energy: -8.501 eV/f.u. Its mass density is 5.476 g/cm³.

Geometry as CIF:
```
data_BaSbSe2F
_chemical_formula_sum 'Ba4 Sb4 Se8 F4'
_cell_length_a 6.1645
_cell_length_b 6.2808
_cell_length_c 13.7451
_cell_angle_alpha 85.52
_cell_angle_beta 85.45
_cell_angle_gamma 89.92
_symmetry_space_group_name_H-M 'P -1'
_symmetry_Int_Tables_number 2
loop_
_symmetry_equiv_pos_as_xyz
'x,y,z'
'-x,-y,-z'
loop_
_atom_site_label
_atom_site_type_symbol
_atom_site_fract_x
_atom_site_fract_y
_atom_site_fract_z
_atom_site_occupancy
Ba1 Ba 0.2282 0.4776 0.1105 1
Ba2 Ba 0.2718 0.0144 0.8911 1
Sb1 Sb 0.2352 0.9724 0.3811 1
Sb2 Sb 0.2690 0.6193 0.6191 1
Se1 Se 0.1637 0.3848 0.3867 1
Se2 Se 0.2113 0.9603 0.1990 1
Se3 Se 0.2873 0.5263 0.7998 1
Se4 Se 0.3294 0.0346 0.6259 1
F1 F 0.0002 0.2495 0.9984 1
F2 F 0.4998 0.2538 0.9982 1
```

=====

Record 5
This record from Alexandria describes a relaxed PrBPt4 crystal. The functional is PBEsol.

Output
As for the total magnetic moment: 0.0 μB per cell. Its mass density is 15.884 g/cm³. For the formation energy, the calculation gives -4.71 eV per formula unit.

Geometry as CIF:
```
data_PrBPt4
_chemical_formula_sum 'Pr2 B2 Pt8'
_cell_length_a 5.4308
_cell_length_b 5.4308
_cell_length_c 7.6297
_cell_angle_alpha 90.00
_cell_angle_beta 90.00
_cell_angle_gamma 120.00
_symmetry_space_group_name_H-M 'P 6/m m m'
_symmetry_Int_Tables_number 191
_symmetry_space_group_name_Hall '-P 6 2'
loop_
_atom_site_label
_atom_site_type_symbol
_atom_site_fract_x
_atom_site_fract_y
_atom_site_fract_z
_atom_site_occupancy
Pr1 Pr 0.0000 0.0000 0.0000 1
Pr2 Pr 0.0000 0.0000 0.5000 1
B1 B 0.3333 0.6667 0.0000 1
Pt1 Pt 0.0000 0.5000 0.2013 1
Pt2 Pt 0.3333 0.6667 0.5000 1
```

=====

Record 6
This record from Alexandria describes a relaxed NbSeI2N crystal. The functional is PBEsol.

Output
As for the total magnetic moment: 3.1 μB per cell. As for the uncorrected formation energy: 5.937 eV/f.u. Its mass density is 6.092 g/cm³.

Geometry as CIF:
```
data_NbSeI2N
_chemical_formula_sum 'Nb1 Se1 I2 N1'
_cell_length_a 5.7550
_cell_length_b 5.7550
_cell_length_c 3.6188
_cell_angle_alpha 90.00
_cell_angle_beta 90.00
_cell_angle_gamma 90.00
_symmetry_space_group_name_H-M 'P 4/m m m'
_symmetry_Int_Tables_number 123
_symmetry_space_group_name_Hall '-P 4 2'
loop_
_atom_site_label
_atom_site_type_symbol
_atom_site_fract_x
_atom_site_fract_y
_atom_site_fract_z
_atom_site_occupancy
Nb1 Nb 0.0000 0.0000 0.0000 1
Se1 Se 0.5000 0.5000 0.5000 1
I1 I 0.0000 0.5000 0.5000 1
N1 N 0.5000 0.5000 0.0000 1
```

=====

Record 7
This record from Alexandria describes a relaxed TcPRu3 crystal. The functional is PBEsol.

Output
As for the total magnetic moment: 3.1 μB per cell. Its mass density is 9.333 g/cm³. For the formation energy, the calculation gives 3.93 eV per formula unit.

Geometry as CIF:
```
data_TcPRu3
_chemical_formula_sum 'Tc1 P1 Ru3'
_cell_length_a 4.2524
_cell_length_b 4.2524
_cell_length_c 4.2524
_cell_angle_alpha 90.00
_cell_angle_beta 90.00
_cell_angle_gamma 90.00
_symmetry_space_group_name_H-M 'P m -3 m'
_symmetry_Int_Tables_number 221
_symmetry_space_group_name_Hall '-P 4 2 3'
loop_
_atom_site_label
_atom_site_type_symbol
_atom_site_fract_x
_atom_site_fract_y
_atom_site_fract_z
_atom_site_occupancy
Tc1 Tc 0.0000 0.0000 0.0000 1
P1 P 0.5000 0.5000 0.5000 1
Ru1 Ru 0.0000 0.5000 0.5000 1
```

=====

Record 8
This record from Alexandria describes a relaxed Mg5Sb crystal. The functional is PBEsol.

Output
As for the total magnetic moment: 0.0 μB per cell. As for the uncorrected formation energy: -0.380 eV/f.u. The excess energy over the best structure of this formula in the dataset comes out at 0.295 eV/f.u. Its mass density is 2.940 g/cm³.

Geometry as CIF:
```
data_Mg5Sb
_chemical_formula_sum 'Mg10 Sb2'
_cell_length_a 5.1045
_cell_length_b 3.3527
_cell_length_c 16.0564
_cell_angle_alpha 90.00
_cell_angle_beta 90.00
_cell_angle_gamma 90.00
_symmetry_space_group_name_H-M 'A m m 2'
_symmetry_Int_Tables_number 38
loop_
_symmetry_equiv_pos_as_xyz
'x,y,z'
'-x,-y,z'
'-x,y,z'
'x,-y,z'
'x,y+1/2,z+1/2'
'-x,-y+1/2,z+1/2'
'-x,y+1/2,z+1/2'
'x,-y+1/2,z+1/2'
loop_
_atom_site_label
_atom_site_type_symbol
_atom_site_fract_x
_atom_site_fract_y
_atom_site_fract_z
_atom_site_occupancy
Mg1 Mg 0.0000 0.0000 0.0000 1
Mg2 Mg 0.0000 0.0000 0.3315 1
Mg3 Mg 0.0000 0.0000 0.6638 1
Mg4 Mg 0.5000 0.0000 0.1148 1
Mg5 Mg 0.5000 0.0000 0.4486 1
Sb1 Sb 0.5000 0.0000 0.7789 1
```

=====

Record 9
This record from Alexandria describes a relaxed NaNb3Os crystal. The functional is PBEsol.

Output
As for the total magnetic moment: 0.0 μB per cell. Its mass density is 6.991 g/cm³. For the formation energy, the calculation gives 5.78 eV per formula unit.

Geometry as CIF:
```
data_NaNb3Os
_chemical_formula_sum 'Na1 Nb3 Os1'
_cell_length_a 4.8888
_cell_length_b 4.8888
_cell_length_c 4.8888
_cell_angle_alpha 90.00
_cell_angle_beta 90.00
_cell_angle_gamma 90.00
_symmetry_space_group_name_H-M 'P m -3 m'
_symmetry_Int_Tables_number 221
_symmetry_space_group_name_Hall '-P 4 2 3'
loop_
_atom_site_label
_atom_site_type_symbol
_atom_site_fract_x
_atom_site_fract_y
_atom_site_fract_z
_atom_site_occupancy
Na1 Na 0.0000 0.0000 0.0000 1
Nb1 Nb 0.0000 0.5000 0.5000 1
Os1 Os 0.5000 0.5000 0.5000 1
```

=====

Record 10
This record from Alexandria describes a relaxed MgMoIr2 crystal. The functional is PBEsol.

Output
As for the total magnetic moment: 0.0 μB per cell. Its mass density is 14.181 g/cm³. For the formation energy, the calculation gives -1.33 eV per formula unit.

Geometry as CIF:
```
data_MgMoIr2
_chemical_formula_sum 'Mg1 Mo1 Ir2'
_cell_length_a 2.8455
_cell_length_b 2.8455
_cell_length_c 7.2987
_cell_angle_alpha 90.00
_cell_angle_beta 90.00
_cell_angle_gamma 90.00
_symmetry_space_group_name_H-M 'P 4/m m m'
_symmetry_Int_Tables_number 123
_symmetry_space_group_name_Hall '-P 4 2'
loop_
_atom_site_label
_atom_site_type_symbol
_atom_site_fract_x
_atom_site_fract_y
_atom_site_fract_z
_atom_site_occupancy
Mg1 Mg 0.0000 0.0000 0.0000 1
Mo1 Mo 0.0000 0.0000 0.5000 1
Ir1 Ir 0.5000 0.5000 0.2583 1
```

=====

Record 11
This record from Alexandria describes a relaxed LiMn2OF3 crystal. The functional is PBEsol.

Output
As for the total magnetic moment: 40.0 μB per cell. As for the uncorrected formation energy: -14.510 eV/f.u. The excess energy over the best structure of this formula in the dataset comes out at 0.184 eV/f.u. Its mass density is 3.729 g/cm³.

Geometry as CIF:
```
data_LiMn2OF3
_chemical_formula_sum 'Li4 Mn8 O4 F12'
_cell_length_a 10.5199
_cell_length_b 6.2206
_cell_length_c 5.1663
_cell_angle_alpha 90.00
_cell_angle_beta 90.00
_cell_angle_gamma 90.00
_symmetry_space_group_name_H-M 'P n m a'
_symmetry_Int_Tables_number 62
loop_
_symmetry_equiv_pos_as_xyz
'x,y,z'
'-x,-y,-z'
'-x+1/2,-y,z+1/2'
'x+1/2,y,-z+1/2'
'x+1/2,-y+1/2,-z+1/2'
'-x+1/2,y+1/2,z+1/2'
'-x,y+1/2,-z'
'x,-y+1/2,z'
loop_
_atom_site_label
_atom_site_type_symbol
_atom_site_fract_x
_atom_site_fract_y
_atom_site_fract_z
_atom_site_occupancy
Li1 Li 0.0894 0.2500 0.0200 1
Mn1 Mn 0.0000 0.0000 0.5000 1
Mn2 Mn 0.2393 0.7500 0.0054 1
O1 O 0.0841 0.2500 0.6600 1
F1 F 0.0704 0.7500 0.7943 1
F2 F 0.1683 0.0220 0.2134 1
```

=====

Record 12
This record from Alexandria describes a relaxed HfSbTe2F crystal. The functional is PBEsol.

Output
As for the total magnetic moment: 0.0 μB per cell. As for the uncorrected formation energy: -0.501 eV/f.u. Its mass density is 8.351 g/cm³.

Geometry as CIF:
```
data_HfSbTe2F
_chemical_formula_sum 'Hf1 Sb1 Te2 F1'
_cell_length_a 5.1267
_cell_length_b 5.1267
_cell_length_c 4.3462
_cell_angle_alpha 90.00
_cell_angle_beta 90.00
_cell_angle_gamma 90.00
_symmetry_space_group_name_H-M 'P 4/m m m'
_symmetry_Int_Tables_number 123
_symmetry_space_group_name_Hall '-P 4 2'
loop_
_atom_site_label
_atom_site_type_symbol
_atom_site_fract_x
_atom_site_fract_y
_atom_site_fract_z
_atom_site_occupancy
Hf1 Hf 0.0000 0.0000 0.0000 1
Sb1 Sb 0.5000 0.5000 0.0000 1
Te1 Te 0.0000 0.5000 0.5000 1
F1 F 0.5000 0.5000 0.5000 1
```